A plane-wave DFT calculation with GGA+U was carried out for crystalline MnIn2IO8 at its relaxed geometry.

## Properties
Total DFT energy (no corrections) ... -5.557 eV per atom
Total magnetization ... 4.0 μB per cell

The structure in POSCAR format:
```
MnIn2IO8
1.0
4.817 -0.151 -0.003
-0.152 4.809 -0.005
0.004 0.007 6.495
O I Mn In
8 1 1 2
Direct
0.708 0.712 0.000 O
0.292 0.288 0.000 O
0.290 0.287 0.500 O
0.822 0.181 0.778 O
0.710 0.713 0.500 O
0.178 0.819 0.222 O
0.822 0.181 0.222 O
0.178 0.819 0.778 O
0.000 0.000 0.000 I
0.000 0.000 0.500 Mn
0.500 0.500 0.744 In
0.500 0.500 0.256 In
```